No. 1
LiZn2PN4 after structural relaxation. Source: Alexandria, functional PBE-GGA.

a b c (Å): 5.1374 5.3549 6.6145
angles (deg): 90.00 90.00 90.00
Last column: magnetic moment on the atom in μB.
Positions (direct):
Li: 0.9889 0.1673 0.5000  0.03
Li: 0.4889 0.8327 0.0000  0.03
Zn: 0.4985 0.3131 0.2527  0.07
Zn: 0.4985 0.3131 0.7473  0.07
Zn: 0.9985 0.6869 0.7527  0.07
Zn: 0.9985 0.6869 0.2473  0.07
P: 0.5021 0.8134 0.5000  -0.03
P: 0.0021 0.1866 0.0000  -0.03
N: 0.3212 0.1963 0.0000  0.33
N: 0.8212 0.8037 0.5000  0.33
N: 0.4169 0.1098 0.5000  0.30
N: 0.9169 0.8902 0.0000  0.30
N: 0.3869 0.6725 0.7012  0.32
N: 0.8869 0.3275 0.2012  0.32
N: 0.8869 0.3275 0.7988  0.32
N: 0.3869 0.6725 0.2988  0.32

Results
The value obtained for the raw total energy is -5.533 eV per atom. The calculation puts the volume at 182.0 Å³/cell. Its space group is No. 31. For the total magnetic moment, the calculation gives 3.74 Bohr magnetons per cell.

---

No. 2
KZr2Pb after structural relaxation. Source: Alexandria, functional PBE-GGA.

a b c (Å): 3.2645 5.6873 5.8167
angles (deg): 90.00 90.00 90.00
Last column: magnetic moment on the atom in μB.
Positions (direct):
K: 0.5000 0.0000 0.5000  0.04
Pb: 0.0000 0.5000 0.5000  0.00
Zr: 0.0000 0.0000 0.0000  0.45
Zr: 0.5000 0.5000 0.0000  -0.01

Results
The value obtained for the raw total energy is -4.930 eV per atom. The calculation puts the volume at 108.0 Å³/cell. Its space group is No. 47. For the total magnetic moment, the calculation gives 0.84 Bohr magnetons per cell.

---

No. 3
YSn2Pd7Au2 after structural relaxation. Source: Alexandria, functional PBE-GGA.

a b c (Å): 4.1331 4.1331 14.0513
angles (deg): 72.42 72.42 88.73
Positions (direct):
Y: 0.0000 0.0000 0.0000
Sn: 0.6797 0.6797 0.3210
Sn: 0.3203 0.3203 0.6790
Pd: 0.5000 0.5000 0.0000
Pd: 0.2528 0.2528 0.4997
Pd: 0.7472 0.7472 0.5003
Pd: 0.8361 0.3363 0.1633
Pd: 0.3363 0.8361 0.1633
Pd: 0.6637 0.1639 0.8367
Pd: 0.1639 0.6637 0.8367
Au: 0.8180 0.8180 0.6823
Au: 0.1820 0.1820 0.3177

Results
The value obtained for the raw total energy is -5.236 eV per atom. The calculation puts the volume at 217.5 Å³/cell. Its space group is No. 12. For the total magnetic moment, the calculation gives 0.00 Bohr magnetons per cell.

---

No. 4
RbCeCu2Br8 after structural relaxation. Source: Alexandria, functional PBE-GGA.

a b c (Å): 7.7035 7.7035 9.4518
angles (deg): 90.00 90.00 120.00
Last column: magnetic moment on the atom in μB.
Positions (direct):
Rb: 0.0000 0.0000 0.5000  0.00
Ce: 0.0000 0.0000 0.0000  -0.01
Cu: 0.3333 0.6667 0.7054  0.29
Cu: 0.6667 0.3333 0.2946  0.29
Br: 0.1659 0.3319 0.8181  0.02
Br: 0.1659 0.8340 0.8181  0.02
Br: 0.6681 0.8340 0.8181  0.02
Br: 0.3319 0.1660 0.1819  0.02
Br: 0.6667 0.3333 0.5370  0.17
Br: 0.3333 0.6667 0.4630  0.17
Br: 0.8340 0.6681 0.1819  0.02
Br: 0.8340 0.1660 0.1819  0.02

Results
The value obtained for the raw total energy is -3.374 eV per atom. The calculation puts the volume at 485.8 Å³/cell. Its space group is No. 164. For the total magnetic moment, the calculation gives 1.22 Bohr magnetons per cell.

---

No. 5
NaZnS2Cl after structural relaxation. Source: Alexandria, functional PBE-GGA.

a b c (Å): 5.1520 5.1520 4.9345
angles (deg): 90.00 90.00 90.00
Last column: magnetic moment on the atom in μB.
Positions (direct):
Na: 0.0000 0.0000 0.0000  0.00
Zn: 0.5000 0.5000 0.5000  -0.08
S: 0.0000 0.5000 0.0000  0.73
S: 0.5000 0.0000 0.0000  0.73
Cl: 0.0000 0.0000 0.5000  0.20

Results
The value obtained for the raw total energy is -2.025 eV per atom. The calculation puts the volume at 131.0 Å³/cell. Its space group is No. 123. For the total magnetic moment, the calculation gives 2.46 Bohr magnetons per cell.

---

No. 6
Rb6CdPt after structural relaxation. Source: Alexandria, functional PBE-GGA.

a b c (Å): 4.7562 10.4459 10.4458
angles (deg): 93.63 90.00 90.00
Positions (direct):
Rb: 0.0000 0.5020 0.7738
Rb: 0.0000 0.2262 0.4980
Rb: 0.0000 0.6682 0.3318
Rb: 0.5000 0.9249 0.6558
Rb: 0.5000 0.3442 0.0751
Rb: 0.5000 0.9458 0.0543
Cd: 0.0000 0.1513 0.8487
Pt: 0.5000 0.2375 0.7625

Results
The value obtained for the raw total energy is -1.629 eV per atom. The calculation puts the volume at 517.9 Å³/cell. Its space group is No. 38. For the total magnetic moment, the calculation gives 0.00 Bohr magnetons per cell.

---

No. 7
SrZn2Br after structural relaxation. Source: Alexandria, functional PBE-GGA.

a b c (Å): 3.7189 3.7198 8.8439
angles (deg): 90.00 90.00 90.00
Positions (direct):
Br: 0.0000 0.0000 0.5727
Sr: 0.5000 0.5000 0.7636
Zn: 0.0000 0.0000 0.0369
Zn: 0.5000 0.5000 0.1267

Results
The value obtained for the raw total energy is -2.025 eV per atom. The calculation puts the volume at 122.3 Å³/cell. Its space group is No. 99. For the total magnetic moment, the calculation gives 0.00 Bohr magnetons per cell.

---

No. 8
Rb2GaNiBr6 after structural relaxation. Source: Alexandria, functional PBE-GGA.

a b c (Å): 7.4690 7.4690 7.4727
angles (deg): 60.02 60.02 90.00
Last column: magnetic moment on the atom in μB.
Positions (direct):
Ni: 0.5000 0.5000 0.0000  1.04
Ga: 0.0000 0.0000 0.0000  -0.07
Br: 0.2572 0.2572 0.4856  0.02
Br: 0.7428 0.7428 0.5144  0.02
Br: 0.2552 0.2552 0.0000  0.02
Br: 0.7448 0.7448 0.0000  0.02
Br: 0.7448 0.2552 0.0000  0.02
Br: 0.2552 0.7448 0.0000  0.02
Rb: 0.7500 0.2500 0.5000  0.00
Rb: 0.2500 0.7500 0.5000  0.00

Results
The value obtained for the raw total energy is -3.064 eV per atom. The calculation puts the volume at 294.9 Å³/cell. Its space group is No. 139. For the total magnetic moment, the calculation gives 1.09 Bohr magnetons per cell.

---

No. 9
KSc2Tl after structural relaxation. Source: Alexandria, functional PBE-GGA.

a b c (Å): 3.3506 3.3506 10.9402
angles (deg): 90.00 90.00 90.00
Last column: magnetic moment on the atom in μB.
Positions (direct):
K: 0.5000 0.5000 0.7500  0.00
Sc: 0.0000 0.0000 0.0643  0.23
Sc: 0.0000 0.0000 0.4357  0.23
Tl: 0.5000 0.5000 0.2500  -0.01

Results
The value obtained for the raw total energy is -3.819 eV per atom. The calculation puts the volume at 122.8 Å³/cell. Its space group is No. 123. For the total magnetic moment, the calculation gives 0.66 Bohr magnetons per cell.

---

No. 10
CaCu2B2H8Cl2O8 after structural relaxation. Source: Alexandria, functional PBE-GGA.

a b c (Å): 6.3051 6.3051 6.1790
angles (deg): 90.00 90.00 90.00
Last column: magnetic moment on the atom in μB.
Positions (direct):
Ca: 0.0000 0.0000 0.5000  0.00
Cu: 0.0000 0.5000 0.2324  0.06
Cu: 0.5000 0.0000 0.7676  0.06
B: 0.5000 0.5000 0.0000  0.00
B: 0.0000 0.0000 0.0000  0.00
H: 0.6154 0.7041 0.2305  0.00
H: 0.3846 0.2959 0.2305  0.00
H: 0.2109 0.2288 0.9199  0.00
H: 0.7891 0.7712 0.9199  0.00
H: 0.2959 0.6154 0.7695  0.00
H: 0.7041 0.3846 0.7695  0.00
H: 0.7712 0.2109 0.0801  0.00
H: 0.2288 0.7891 0.0801  0.00
Cl: 0.0000 0.5000 0.5934  0.00
Cl: 0.5000 0.0000 0.4066  0.00
O: 0.0984 0.8447 0.1493  0.00
O: 0.9016 0.1553 0.1493  0.00
O: 0.5975 0.3277 0.8705  0.00
O: 0.4025 0.6723 0.8705  0.00
O: 0.1553 0.0984 0.8507  0.00
O: 0.8447 0.9016 0.8507  0.00
O: 0.6723 0.5975 0.1295  0.00
O: 0.3277 0.4025 0.1295  0.00

Results
The value obtained for the raw total energy is -5.433 eV per atom. The calculation puts the volume at 245.6 Å³/cell. Its space group is No. 81. For the total magnetic moment, the calculation gives 0.14 Bohr magnetons per cell.

---

No. 11
ZrRe2Se after structural relaxation. Source: Alexandria, functional PBE-GGA.

a b c (Å): 3.1331 4.3065 5.2709
angles (deg): 90.00 90.00 90.00
Positions (direct):
Re: 0.0000 0.0000 0.9781
Re: 0.0000 0.0000 0.5219
Se: 0.5000 0.5000 0.2500
Zr: 0.5000 0.5000 0.7500

Results
The value obtained for the raw total energy is -8.944 eV per atom. The calculation puts the volume at 71.1 Å³/cell. Its space group is No. 47. For the total magnetic moment, the calculation gives 0.00 Bohr magnetons per cell.

---

No. 12
Hf3Zr3Al after structural relaxation. Source: Alexandria, functional PBE-GGA.

a b c (Å): 5.0638 8.3526 8.3526
angles (deg): 120.00 90.00 90.00
Positions (direct):
Hf: 0.7500 0.8213 0.7523
Hf: 0.7500 0.9309 0.1787
Hf: 0.2500 0.7523 0.9309
Hf: 0.7500 0.2477 0.0691
Hf: 0.2500 0.0691 0.8213
Hf: 0.2500 0.1787 0.2477
Zr: 0.7500 0.5158 0.8992
Zr: 0.7500 0.3833 0.4842
Zr: 0.2500 0.8992 0.3833
Zr: 0.7500 0.1008 0.6167
Zr: 0.2500 0.6167 0.5158
Zr: 0.2500 0.4842 0.1008
Al: 0.2500 0.3333 0.6667
Al: 0.7500 0.6667 0.3333

Results
The value obtained for the raw total energy is -8.575 eV per atom. The calculation puts the volume at 305.9 Å³/cell. Its space group is No. 176. For the total magnetic moment, the calculation gives 0.00 Bohr magnetons per cell.

---

No. 13
Dy4GaBi after structural relaxation. Source: Alexandria, functional PBE-GGA.

a b c (Å): 6.1733 7.4891 8.5882
angles (deg): 102.53 111.06 90.00
Positions (direct):
Dy: 0.5307 0.0571 0.8426
Dy: 0.6881 0.4429 0.1574
Dy: 0.4693 0.9429 0.1574
Dy: 0.3119 0.5571 0.8426
Dy: 0.9503 0.8710 0.6707
Dy: 0.2796 0.6290 0.3293
Dy: 0.0497 0.1290 0.3293
Dy: 0.7204 0.3710 0.6707
Ga: 0.5000 0.0000 0.5000
Ga: 0.0000 0.5000 0.5000
Bi: 0.8745 0.7500 0.0000
Bi: 0.1255 0.2500 0.0000

Results
The value obtained for the raw total energy is -4.507 eV per atom. The calculation puts the volume at 360.4 Å³/cell. Its space group is No. 15. For the total magnetic moment, the calculation gives 0.00 Bohr magnetons per cell.

---

No. 14
MnTcOs3 after structural relaxation. Source: Alexandria, functional PBE-GGA.

a b c (Å): 4.3616 4.3616 4.3616
angles (deg): 90.00 90.00 90.00
Positions (direct):
Mn: 0.0000 0.0000 0.0000
Os: 0.0000 0.5000 0.0000
Os: 0.0000 0.0000 0.5000
Os: 0.5000 0.0000 0.0000
Tc: 0.5000 0.5000 0.5000

Results
The value obtained for the raw total energy is -8.826 eV per atom. The calculation puts the volume at 83.0 Å³/cell. Its space group is No. 221. For the total magnetic moment, the calculation gives 0.00 Bohr magnetons per cell.

---

No. 15
Tm4AlCd3 after structural relaxation. Source: Alexandria, functional PBE-GGA.

a b c (Å): 3.5734 4.7712 11.8026
angles (deg): 90.00 90.00 90.00
Positions (direct):
Tm: 0.5000 0.5000 0.3338
Tm: 0.0000 0.5000 0.8424
Tm: 0.0000 0.0000 0.1586
Tm: 0.5000 0.0000 0.6630
Al: 0.5000 0.5000 0.0728
Cd: 0.0000 0.5000 0.5736
Cd: 0.0000 0.0000 0.4254
Cd: 0.5000 0.0000 0.9304

Results
The value obtained for the raw total energy is -3.320 eV per atom. The calculation puts the volume at 201.2 Å³/cell. Its space group is No. 25. For the total magnetic moment, the calculation gives 0.00 Bohr magnetons per cell.

---

No. 16
LiAs2I after structural relaxation. Source: Alexandria, functional PBE-GGA.

a b c (Å): 5.0535 5.0535 5.0535
angles (deg): 60.00 60.00 60.00
Positions (direct):
I: 0.5000 0.5000 0.5000
As: 0.2500 0.2500 0.2500
As: 0.7500 0.7500 0.7500
Li: 0.0000 0.0000 0.0000

Results
The value obtained for the raw total energy is -2.698 eV per atom. The calculation puts the volume at 91.3 Å³/cell. Its space group is No. 225. For the total magnetic moment, the calculation gives 0.00 Bohr magnetons per cell.